[1]
Compound: CeNi5As3
Source: Alexandria
Functional: PBE-GGA
Structure: optimized geometry

Its crystal system is orthorhombic. The calculated total energy is -5.984 eV per atom.

The structure belongs to space group Cmcm (No. 63); the cell edges are 3.7453, 12.1914 and 11.7126 Å and the angles 90.00°, 90.00° and 90.00°. Symmetry generates all atoms from Ce at (0.0000, 0.1598, 0.2500), Ni at (0.0000, 0.0000, 0.0000), Ni at (0.0000, 0.1947, 0.5635), Ni at (0.0000, 0.4444, 0.1439), As at (0.0000, 0.1192, 0.7500) and As at (0.0000, 0.3810, 0.5489).



[2]
Compound: Ce2NiAs3
Source: Alexandria
Functional: PBE-GGA
Structure: optimized geometry

Its crystal system is orthorhombic. The calculated total energy is -6.052 eV per atom.

The structure belongs to space group Immm (No. 71); the cell edges are 4.0783, 6.0891 and 10.9775 Å and the angles 90.00°, 90.00° and 90.00°. Symmetry generates all atoms from Ce at (0.0000, 0.0000, 0.1848), Ni at (0.0000, 0.0000, 0.5000), As at (0.0000, 0.5000, 0.1283) and As at (0.0000, 0.5000, 0.5000).



[3]
Compound: Ce2Ni2As3
Source: Alexandria
Functional: PBE-GGA
Structure: optimized geometry

Its crystal system is monoclinic. The calculated total energy is -6.056 eV per atom.

The structure belongs to space group C2/m (No. 12); the cell edges are 9.9260, 4.0633 and 6.7987 Å and the angles 90.00°, 106.81° and 90.00°. Symmetry generates all atoms from Ce at (0.1393, 0.0000, 0.2877), Ni at (0.1484, 0.0000, 0.7763), As at (0.0000, 0.5000, 0.5000) and As at (0.1196, 0.5000, 0.9546).



[4]
Compound: CeNiAs3
Source: Alexandria
Functional: PBE-GGA
Structure: optimized geometry

Its crystal system is orthorhombic. The calculated total energy is -5.838 eV per atom.

The structure belongs to space group Pbcm (No. 57); the cell edges are 11.9978, 5.6921 and 5.5885 Å and the angles 90.00°, 90.00° and 90.00°. Symmetry generates all atoms from Ce at (0.1945, 0.0039, 0.2500), Ni at (0.4146, 0.7500, 0.0000), As at (0.0009, 0.7500, 0.0000), As at (0.2774, 0.5097, 0.2500) and As at (0.4389, 0.1056, 0.2500).



[5]
Compound: CeNiAs2
Source: Alexandria
Functional: PBE-GGA
Structure: optimized geometry

Its crystal system is trigonal. The calculated total energy is -5.295 eV per atom.

The structure belongs to space group R-3m (No. 166, hexagonal axes); the cell edges are 4.5240, 4.5240 and 21.0174 Å and the angles 90.00°, 90.00° and 120.00°. Symmetry generates all atoms from Ce at (0.0000, 0.0000, 0.0000), Ni at (0.0000, 0.0000, 0.5000) and As at (0.0000, 0.0000, 0.3942).



[6]
Compound: CeNi3As3
Source: Alexandria
Functional: PBE-GGA
Structure: optimized geometry

Its crystal system is cubic. The calculated total energy is -5.756 eV per atom.

The structure belongs to space group Pm-3n (No. 223); the cell edges are 6.4115, 6.4115 and 6.4115 Å and the angles 90.00°, 90.00° and 90.00°. Symmetry generates all atoms from Ce at (0.0000, 0.0000, 0.0000), Ni at (0.0000, 0.2500, 0.5000) and As at (0.0000, 0.5000, 0.2500).



[7]
Compound: CeNi2As2
Source: Alexandria
Functional: PBE-GGA
Structure: optimized geometry

Its crystal system is tetragonal. The calculated total energy is -6.195 eV per atom.

The structure belongs to space group P4/nmm (No. 129, origin choice 2); the cell edges are 4.2337, 4.2337 and 9.2770 Å and the angles 90.00°, 90.00° and 90.00°. Symmetry generates all atoms from Ce at (0.2500, 0.2500, 0.2455), Ni at (0.2500, 0.2500, 0.6169), Ni at (0.2500, 0.7500, 0.0000), As at (0.2500, 0.2500, 0.8708) and As at (0.2500, 0.7500, 0.5000).



[8]
Compound: CeNi2As3
Source: Alexandria
Functional: PBE-GGA
Structure: optimized geometry

Its crystal system is orthorhombic. The calculated total energy is -5.806 eV per atom.

The structure belongs to space group Cmcm (No. 63); the cell edges are 7.5517, 10.9108 and 5.4660 Å and the angles 90.00°, 90.00° and 90.00°. Symmetry generates all atoms from Ce at (0.0000, 0.2130, 0.2500), Ni at (0.1795, 0.5000, 0.0000), As at (0.0000, 0.3788, 0.7500) and As at (0.1640, 0.1307, 0.7500).



Ordered formation energy results: -563.0 -785.3 -716.3 -705.3 -41.8 -438.4 -835.8 -564.9; unit meV/atom.
Ordered total moment results: 2.8 3.3 1.7 0.4 5.7 1.8 1.0 3.1; unit Bohr magnetons per cell.